Run 1
Compound: AcPrCo2
Source: Alexandria via LeMat-Bulk
Functional: GGA-PBE
Structure: optimized geometry

Magnetization = 1.36 μB/f.u.

Cell lengths 4.0387, 6.0791, 8.0304 Å; angles 90.00, 90.00, 90.00 degrees
Last column: magnetic moment on the atom in μB.
Fractional coordinates of all 8 atoms:
Co 0.5000 0.1554 0.9720  0.93
Co 0.0000 0.3116 0.0230  0.88
Co 0.0000 0.6884 0.5230  0.88
Co 0.5000 0.8446 0.4720  0.93
Pr 0.0000 0.8749 0.1816  -0.11
Pr 0.0000 0.1251 0.6816  -0.11
Ac 0.5000 0.6261 0.8233  -0.07
Ac 0.5000 0.3739 0.3233  -0.07

=====

Run 2
Compound: AcPrCo2
Source: Alexandria via LeMat-Bulk
Functional: GGA-PBE
Structure: optimized geometry

Magnetization = 0.99 μB/f.u.

Cell lengths 5.0594, 5.0594, 5.0594 Å; angles 60.00, 60.00, 60.00 degrees
Last column: magnetic moment on the atom in μB.
Fractional coordinates of all 4 atoms:
Co 0.7500 0.7500 0.7500  0.86
Co 0.2500 0.2500 0.2500  0.86
Pr 0.5000 0.5000 0.5000  -0.17
Ac 0.0000 0.0000 0.0000  -0.14

=====

The structure with the least stability is run 2.